{"formula": "HgTe3Ir", "functional": "PBE", "state": "optimized geometry", "de_polymorph_mev_per_atom": 0, "dos_at_fermi_per_ev_cell": 9.2, "lattice": [[5.3204, 0.0000, 0.0000], [0.0000, 5.3204, 0.0000], [0.0000, 0.0000, 5.3204]], "species": ["Hg", "Te", "Te", "Te", "Ir"], "frac_coords": [[0.5000, 0.5000, 0.5000], [0.0000, 0.5000, 0.0000], [0.5000, 0.0000, 0.0000], [0.0000, 0.0000, 0.5000], [0.0000, 0.0000, 0.0000]]}

***

{"formula": "HgTe2Ir", "functional": "PBE", "state": "optimized geometry", "e_tot_ev_per_atom": -3.820, "dos_at_fermi_per_ev_cell": 1.7, "lattice": [[5.5490, -0.0079, 0.0098], [4.1744, 3.6558, 0.0098], [1.9351, 0.7260, 5.4224]], "species": ["Ir", "Hg", "Te", "Te"], "frac_coords": [[0.3075, 0.3075, 0.3760], [0.5689, 0.5689, 0.3677], [0.8938, 0.8938, 0.0527], [0.7297, 0.7297, 0.7037]]}

***

{"formula": "Hg2TeIr", "functional": "PBE", "state": "optimized geometry", "e_tot_ev_per_atom": -2.613, "dos_at_fermi_per_ev_cell": 3.6, "lattice": [[11.1756, 0.0204, 0.0120], [10.7444, 3.0745, 0.0120], [10.7444, 1.5170, 2.6742]], "species": ["Hg", "Hg", "Te", "Ir"], "frac_coords": [[0.5155, 0.5155, 0.5155], [0.9845, 0.9845, 0.9845], [0.7500, 0.7500, 0.7500], [0.2500, 0.2500, 0.2500]]}